[1]
ZnNi2Pb2 | GGA-PBE | relaxed

Unit cell a=3.492 b=3.492 c=8.715 alpha=78.44 beta=78.44 gamma=90.00
Fractional coordinates of all 5 atoms:
1 Pb 0.376 0.376 0.247
2 Pb 0.624 0.624 0.753
3 Zn 0.000 0.000 0.000
4 Ni 0.750 0.250 0.500
5 Ni 0.250 0.750 0.500

Values from the calculation:
Energy, eV per atom: -3.7957
Polymorph energy (0 for the lowest one), meV per atom: 106
Energy of formation from the pure elements, meV per atom: 255
Density, g/cm³: 9.7



[2]
LiErHfIr | GGA-PBE | relaxed

Unit cell a=4.746 b=4.746 c=4.746 alpha=60.00 beta=60.00 gamma=60.00
Fractional coordinates of all 4 atoms:
1 Ir 0.000 0.000 0.000
2 Er 0.250 0.250 0.250
3 Hf 0.750 0.750 0.750
4 Li 0.500 0.500 0.500

Values from the calculation:
Energy, eV per atom: -6.8502
Energy of formation from the pure elements, meV per atom: -527
Density, g/cm³: 12.0



[3]
Ac5La2Tl | GGA-PBE | relaxed

Unit cell a=3.935 b=9.529 c=10.258 alpha=117.68 beta=101.06 gamma=90.00
Fractional coordinates of all 8 atoms:
1 La 0.211 0.711 0.422
2 La 0.789 0.289 0.578
3 Ac 0.382 0.095 0.764
4 Ac 0.618 0.331 0.236
5 Ac 0.382 0.669 0.764
6 Ac 0.618 0.905 0.236
7 Ac 0.000 0.500 0.000
8 Tl 0.000 0.000 0.000

Values from the calculation:
Energy, eV per atom: -4.0666
Energy of formation from the pure elements, meV per atom: 29
Density, g/cm³: 8.1



[4]
Nb2CuPd6 | GGA-PBE | relaxed

Unit cell a=4.668 b=4.928 c=7.391 alpha=81.40 beta=71.59 gamma=61.72
Fractional coordinates of all 9 atoms:
1 Pd 0.989 0.182 0.840
2 Pd 0.335 0.829 0.500
3 Pd 0.011 0.818 0.160
4 Pd 0.671 0.818 0.840
5 Pd 0.329 0.182 0.160
6 Pd 0.665 0.171 0.500
7 Nb 0.660 0.500 0.181
8 Nb 0.340 0.500 0.819
9 Cu 0.000 0.500 0.500

Values from the calculation:
Energy, eV per atom: -6.4201
Polymorph energy (0 for the lowest one), meV per atom: 0
Energy of formation from the pure elements, meV per atom: -265
Density, g/cm³: 10.4



[5]
Li5Be3 | GGA-PBE | relaxed

Unit cell a=5.064 b=5.064 c=3.998 alpha=90.00 beta=90.00 gamma=96.02
Fractional coordinates of all 8 atoms:
1 Li 0.789 0.211 0.500
2 Li 0.000 0.000 0.000
3 Li 0.500 0.000 0.000
4 Li 0.000 0.500 0.000
5 Li 0.211 0.789 0.500
6 Be 0.500 0.500 0.000
7 Be 0.338 0.338 0.500
8 Be 0.662 0.662 0.500

Values from the calculation:
Energy, eV per atom: -2.3939
Polymorph energy (0 for the lowest one), meV per atom: 32
Energy of formation from the pure elements, meV per atom: 200
Density, g/cm³: 1.0



[6]
Li2DyIn | GGA-PBE | relaxed

Unit cell a=3.659 b=3.659 c=6.697 alpha=90.00 beta=90.00 gamma=90.00
Fractional coordinates of all 4 atoms:
1 In 0.500 0.500 0.000
2 Dy 0.500 0.500 0.500
3 Li 0.000 0.000 0.790
4 Li 0.000 0.000 0.210

Values from the calculation:
Energy, eV per atom: -2.8866
Polymorph energy (0 for the lowest one), meV per atom: 190
Energy of formation from the pure elements, meV per atom: -95
Density, g/cm³: 5.4